# 1
The following is a GGA-PBEsol calculation of crystalline Li4VCr3O8 at its relaxed geometry, from Alexandria via LeMat-Bulk.

The calculated total energy comes out at -123.37 eV for the cell shown. The calculation puts the density of states at the Fermi level at 0.668 states/eV/atom. As for the raw formation energy: -2.07 eV per atom.

The structure belongs to space group P-1 (No. 2); the cell edges are 5.0234, 5.0463 and 5.8331 Å and the angles 90.04°, 106.86° and 99.60°. Symmetry generates all atoms from Li at (0.9996, 0.2467, 0.1260), Li at (0.0026, 0.7501, 0.3766), V at (0.5000, 0.5000, 0.0000), Cr at (0.4999, 0.9997, 0.2499), Cr at (0.5000, 0.5000, 0.5000), O at (0.2726, 0.1247, 0.9432), O at (0.2734, 0.6301, 0.1958), O at (0.2740, 0.6311, 0.6909) and O at (0.2762, 0.1294, 0.4442).

---

# 2
The following is a GGA-PBEsol calculation of crystalline NaCo2Ge2 at its relaxed geometry, from Alexandria via LeMat-Bulk.

Its energy relative to the elements is -0.170 eV per atom. The calculated total energy comes out at -55.20 eV for the cell shown. The calculation puts the density of states at the Fermi level at 0.600 states/eV/atom.

The structure belongs to space group I4/mmm (No. 139); the cell edges are 3.8523, 3.8523 and 10.2447 Å and the angles 90.00°, 90.00° and 90.00°. Symmetry generates all atoms from Na at (0.0000, 0.0000, 0.0000), Co at (0.0000, 0.5000, 0.2500) and Ge at (0.0000, 0.0000, 0.3717).

---

# 3
The following is a GGA-PBEsol calculation of crystalline La2BeB at its relaxed geometry, from Alexandria via LeMat-Bulk.

Its energy relative to the elements is 0.344 eV per atom. The calculated total energy comes out at -81.32 eV for the cell shown. The calculation puts the density of states at the Fermi level at 0.795 states/eV/atom.

The structure belongs to space group Fm-3m (No. 225); the cell edges are 6.8776, 6.8776 and 6.8776 Å and the angles 90.00°, 90.00° and 90.00°. Symmetry generates all atoms from La at (0.2500, 0.2500, 0.2500), Be at (0.0000, 0.0000, 0.0000) and B at (0.0000, 0.0000, 0.5000).

---

# 4
The following is a GGA-PBEsol calculation of crystalline HgIr2Ru at its relaxed geometry, from Alexandria via LeMat-Bulk.

Its energy relative to the elements is 0.501 eV per atom. The calculated total energy comes out at -56.76 eV for the cell shown. The calculation puts the density of states at the Fermi level at 1.314 states/eV/atom.

The structure belongs to space group Cmmm (No. 65); the cell edges are 2.7312, 4.7772 and 9.5446 Å and the angles 90.00°, 90.00° and 90.00°. Symmetry generates all atoms from Hg at (0.0000, 0.0000, 0.0000), Ir at (0.0000, 0.5000, 0.2682) and Ru at (0.0000, 0.0000, 0.5000).

---

# 5
The following is a GGA-PBEsol calculation of crystalline BeTeOs2 at its relaxed geometry, from Alexandria via LeMat-Bulk.

The calculated total energy comes out at -120.90 eV for the cell shown. The calculation puts the density of states at the Fermi level at 0.166 states/eV/atom. As for the raw formation energy: 0.43 eV per atom.

The structure belongs to space group Fm-3m (No. 225); the cell edges are 6.0859, 6.0859 and 6.0859 Å and the angles 90.00°, 90.00° and 90.00°. Symmetry generates all atoms from Be at (0.0000, 0.0000, 0.0000), Te at (0.0000, 0.0000, 0.5000) and Os at (0.2500, 0.2500, 0.2500).

---

# 6
The following is a GGA-PBEsol calculation of crystalline Y2CrPt at its relaxed geometry, from Alexandria via LeMat-Bulk.

Its energy relative to the elements is -0.328 eV per atom. The calculated total energy comes out at -32.16 eV for the cell shown. The calculation puts the density of states at the Fermi level at 0.638 states/eV/atom.

The structure belongs to space group P4/mmm (No. 123); the cell edges are 3.5036, 3.5036 and 6.7933 Å and the angles 90.00°, 90.00° and 90.00°. Symmetry generates all atoms from Y at (0.0000, 0.0000, 0.2438), Cr at (0.5000, 0.5000, 0.5000) and Pt at (0.5000, 0.5000, 0.0000).

---

# 7
The following is a GGA-PBEsol calculation of crystalline Ta4NiAs at its relaxed geometry, from Alexandria via LeMat-Bulk.

Its energy relative to the elements is 0.695 eV per atom. The calculated total energy comes out at -229.18 eV for the cell shown. The calculation puts the density of states at the Fermi level at 0.944 states/eV/atom.

The structure belongs to space group F-43m (No. 216); the cell edges are 7.5290, 7.5290 and 7.5290 Å and the angles 90.00°, 90.00° and 90.00°. Symmetry generates all atoms from Ta at (0.1254, 0.1254, 0.1254), Ni at (0.0000, 0.0000, 0.5000) and As at (0.2500, 0.2500, 0.7500).

---

# 8
The following is a GGA-PBEsol calculation of crystalline AgPtAuSe2 at its relaxed geometry, from Alexandria via LeMat-Bulk.

The calculated total energy comes out at -16.51 eV for the cell shown. The calculation puts the density of states at the Fermi level at 0.762 states/eV/atom. As for the raw formation energy: 1.08 eV per atom.

The structure belongs to space group P4/mmm (No. 123); the cell edges are 4.8651, 4.8651 and 4.9519 Å and the angles 90.00°, 90.00° and 90.00°. Symmetry generates all atoms from Ag at (0.0000, 0.0000, 0.0000), Pt at (0.5000, 0.5000, 0.0000), Au at (0.0000, 0.0000, 0.5000) and Se at (0.0000, 0.5000, 0.5000).

---

# 9
The following is a GGA-PBEsol calculation of crystalline TiSb3H at its relaxed geometry, from Alexandria via LeMat-Bulk.

The calculated total energy comes out at -23.34 eV for the cell shown. The calculation puts the density of states at the Fermi level at 1.129 states/eV/atom.

The structure belongs to space group Pm-3m (No. 221); the cell edges are 4.5964, 4.5964 and 4.5964 Å and the angles 90.00°, 90.00° and 90.00°. Symmetry generates all atoms from Ti at (0.0000, 0.0000, 0.0000), Sb at (0.0000, 0.5000, 0.5000) and H at (0.5000, 0.5000, 0.5000).

---

# 10
The following is a GGA-PBEsol calculation of crystalline Cr2CdPt at its relaxed geometry, from Alexandria via LeMat-Bulk.

Its energy relative to the elements is 0.256 eV per atom. The calculated total energy comes out at -55.24 eV for the cell shown. The calculation puts the density of states at the Fermi level at 0.632 states/eV/atom.

The structure belongs to space group C2/m (No. 12); the cell edges are 9.2647, 2.8152 and 4.7366 Å and the angles 90.00°, 101.73° and 90.00°. Symmetry generates all atoms from Cr at (0.2401, 0.0000, 0.1650), Cd at (0.0000, 0.0000, 0.5000) and Pt at (0.0000, 0.5000, 0.0000).

---

# 11
The following is a GGA-PBEsol calculation of crystalline ScMn2ZnI at its relaxed geometry, from Alexandria via LeMat-Bulk.

The calculated total energy comes out at -23.27 eV for the cell shown. The calculation puts the density of states at the Fermi level at 0.624 states/eV/atom. As for the raw formation energy: 1.24 eV per atom.

The structure belongs to space group P4/mmm (No. 123); the cell edges are 4.7800, 4.7800 and 5.1815 Å and the angles 90.00°, 90.00° and 90.00°. Symmetry generates all atoms from Sc at (0.0000, 0.0000, 0.0000), Mn at (0.0000, 0.5000, 0.0000), Zn at (0.0000, 0.0000, 0.5000) and I at (0.5000, 0.5000, 0.5000).

---

# 12
The following is a GGA-PBEsol calculation of crystalline SiB2Te at its relaxed geometry, from Alexandria via LeMat-Bulk.

The calculated total energy comes out at -68.84 eV for the cell shown. The calculation puts the density of states at the Fermi level at 0.384 states/eV/atom. As for the raw formation energy: 1.52 eV per atom.

The structure belongs to space group Fm-3m (No. 225); the cell edges are 5.9337, 5.9337 and 5.9337 Å and the angles 90.00°, 90.00° and 90.00°. Symmetry generates all atoms from Si at (0.0000, 0.0000, 0.0000), B at (0.2500, 0.2500, 0.2500) and Te at (0.0000, 0.0000, 0.5000).